# 1
10
Lattice="6.298 0.000 0.000 0.000 6.298 0.000 0.000 0.000 4.228" Properties=species:S:1:pos:R:3 comment="V2AsAu2 | Alexandria | PBE | optimized geometry" formation_enthalpy_0k_kj_per_mol_atoms=-1.1 sg="P4/mbm, No. 127" dos_at_fermi_per_ev_atom=1.001 pbc="T T T"
V 0.836 2.313 0.000
V 2.313 5.462 0.000
V 3.985 0.836 0.000
V 5.462 3.985 0.000
As 0.000 0.000 0.000
As 3.149 3.149 0.000
Au 0.988 4.137 2.114
Au 2.162 0.988 2.114
Au 4.137 5.311 2.114
Au 5.311 2.162 2.114

=====

# 2
10
Lattice="6.809 0.000 0.000 0.000 6.809 0.000 0.000 0.000 3.969" Properties=species:S:1:pos:R:3 comment="VAs2Au2 | Alexandria | PBE | optimized geometry" formation_enthalpy_0k_kj_per_mol_atoms=16.4 sg="P4/mbm, No. 127" dos_at_fermi_per_ev_atom=0.690 pbc="T T T"
V 0.000 0.000 0.000
V 3.405 3.405 0.000
As 1.108 2.297 0.000
As 2.297 5.702 0.000
As 4.512 1.108 0.000
As 5.702 4.512 0.000
Au 1.028 4.433 1.984
Au 2.377 1.028 1.984
Au 4.433 5.781 1.984
Au 5.781 2.377 1.984

=====

# 3
5
Lattice="4.908 0.000 0.000 0.000 4.908 0.000 0.000 0.000 4.908" Properties=species:S:1:pos:R:3 comment="VAsAu3 | Alexandria | PBE | optimized geometry" de_polymorph_mev_per_atom=363.2 formation_enthalpy_0k_kj_per_mol_atoms=102.0 sg="Pm-3m, No. 221" dos_at_fermi_per_ev_atom=1.095 pbc="T T T"
V 0.000 0.000 0.000
As 2.454 2.454 2.454
Au 0.000 0.000 2.454
Au 0.000 2.454 0.000
Au 2.454 0.000 0.000

=====

# 4
5
Lattice="4.831 0.000 0.000 0.000 4.831 0.000 0.000 0.000 4.597" Properties=species:S:1:pos:R:3 comment="ZrVAsAu2 | Alexandria | PBE | optimized geometry" formation_enthalpy_0k_kj_per_mol_atoms=48.5 sg="P4/mmm, No. 123" dos_at_fermi_per_ev_atom=1.254 pbc="T T T"
Zr 0.000 0.000 0.000
V 2.415 2.415 0.000
As 2.415 2.415 2.298
Au 0.000 2.415 2.298
Au 2.415 0.000 2.298